1.
Pr7Cu2Pd2 | Alexandria | GGA-PBE | optimized geometry; M_tot = 0.00 μB/f.u.; mass density = 6.80 g/cm3; uncorrected energy = -4.835 eV/atom; ΔH_f (0 K) = -0.11 eV per atom
1.0
3.868 -5.655 0.000
3.868 5.655 0.000
0.000 0.000 7.408
Pr Cu Pd
7 2 2
Cartesian
0.000 0.000 0.000
1.934 2.827 2.056
1.934 2.827 5.352
1.934 -2.827 2.056
1.934 -2.827 5.352
3.868 0.000 1.985
3.868 0.000 5.423
1.256 0.000 3.704
6.480 0.000 3.704
3.868 2.307 0.000
3.868 -2.307 0.000

=====

2.
KMgCu | Alexandria | GGA-PBE | optimized geometry; M_tot = 0.00 μB/f.u.; mass density = 2.53 g/cm3; uncorrected energy = -2.041 eV/atom; ΔH_f (0 K) = 0.22 eV per atom
1.0
-1.774 1.852 6.352
1.774 -1.852 6.352
1.774 1.852 -6.352
K Mg Cu
1 1 1
Cartesian
0.000 0.000 0.000
0.000 0.000 3.393
0.000 0.000 9.001

=====

3.
Y2PW | Alexandria | GGA-PBE | optimized geometry; M_tot = 0.54 μB/f.u.; mass density = 7.13 g/cm3; uncorrected energy = -7.834 eV/atom; ΔH_f (0 K) = -0.01 eV per atom
1.0
1.804 1.041 8.111
-1.804 1.041 8.111
0.000 -2.083 8.111
Y P W
2 1 1
Cartesian
0.000 0.000 5.837
0.000 0.000 18.497
0.000 0.000 12.167
0.000 0.000 0.000

=====

4.
MgMo2Cl | Alexandria | GGA-PBE | optimized geometry; M_tot = 0.00 μB/f.u.; formation energy without anion corrections = 0.51 eV per atom; mass density = 5.48 g/cm3; uncorrected energy = -5.767 eV/atom
1.0
-1.820 1.820 11.513
1.820 -1.820 11.513
1.820 1.820 -11.513
Mg Mo Cl
2 4 2
Cartesian
0.000 0.000 0.000
0.000 1.820 5.756
2.729 0.830 -2.878
0.830 0.910 2.878
-0.910 0.990 8.635
0.990 0.910 14.391
1.820 0.000 5.756
0.000 0.000 11.513